No. 1
Entry from Alexandria: an optimized crystal structure of Rh3SF (GGA-PBE).

```
data_Rh3SF
_symmetry_space_group_name_H-M 'P m -3 m'
_symmetry_Int_Tables_number 221
_symmetry_space_group_name_Hall '-P 4 2 3'
_cell_length_a 4.381
_cell_length_b 4.381
_cell_length_c 4.381
_cell_angle_alpha 90.00
_cell_angle_beta 90.00
_cell_angle_gamma 90.00
loop_
_atom_site_label
_atom_site_fract_x
_atom_site_fract_y
_atom_site_fract_z
Rh1 0.000 0.000 0.500
S1 0.000 0.000 0.000
F1 0.500 0.500 0.500
```

Values from the calculation:
M_tot in μB/cell: 0.82
Energy relative to the elements, uncorrected in eV/atom: 0.2649

***

No. 2
Entry from Alexandria: an optimized crystal structure of SrYIn4O8 (GGA-PBE).

```
data_SrYIn4O8
_symmetry_space_group_name_H-M 'R 3 m'
_symmetry_Int_Tables_number 160
_symmetry_space_group_name_Hall 'R 3 -2"'
_cell_length_a 6.7354
_cell_length_b 6.7354
_cell_length_c 16.7553
_cell_angle_alpha 90.00
_cell_angle_beta 90.00
_cell_angle_gamma 120.00
loop_
_atom_site_label
_atom_site_fract_x
_atom_site_fract_y
_atom_site_fract_z
Sr1 0.0000 0.0000 0.0000
Y1 0.0000 0.0000 0.6266
In1 0.0000 0.0000 0.2495
In2 0.1684 0.3369 0.4578
O1 0.0000 0.0000 0.3887
O2 0.0000 0.0000 0.8567
O3 0.0440 0.5220 0.3824
O4 0.1785 0.3570 0.2026
```

Values from the calculation:
M_tot in μB/cell: 0.00
Energy relative to the elements, uncorrected in eV/atom: -2.0071

***

No. 3
Entry from Alexandria: an optimized crystal structure of MgAsS2 (GGA-PBE).

```
data_MgAsS2
_symmetry_space_group_name_H-M 'F m -3 m'
_symmetry_Int_Tables_number 225
_symmetry_space_group_name_Hall '-F 4 2 3'
_cell_length_a 6.547
_cell_length_b 6.547
_cell_length_c 6.547
_cell_angle_alpha 90.00
_cell_angle_beta 90.00
_cell_angle_gamma 90.00
loop_
_atom_site_label
_atom_site_fract_x
_atom_site_fract_y
_atom_site_fract_z
Mg1 0.000 0.000 0.000
As1 0.000 0.000 0.500
S1 0.250 0.250 0.250
```

Values from the calculation:
M_tot in μB/cell: 0.00
Energy relative to the elements, uncorrected in eV/atom: -0.0980

***

No. 4
Entry from Alexandria: an optimized crystal structure of LiTeI4 (GGA-PBE).

```
data_LiTeI4
_symmetry_space_group_name_H-M 'I -4 m 2'
_symmetry_Int_Tables_number 119
_symmetry_space_group_name_Hall 'I -4 -2'
_cell_length_a 6.182
_cell_length_b 6.182
_cell_length_c 12.359
_cell_angle_alpha 90.00
_cell_angle_beta 90.00
_cell_angle_gamma 90.00
loop_
_atom_site_label
_atom_site_fract_x
_atom_site_fract_y
_atom_site_fract_z
Li1 0.000 0.000 0.000
Te1 0.000 0.500 0.250
I1 0.000 0.000 0.240
I2 0.000 0.500 0.012
```

Values from the calculation:
M_tot in μB/cell: 0.00
Energy relative to the elements, uncorrected in eV/atom: -0.4338

***

No. 5
Entry from Alexandria: an optimized crystal structure of HfPt (GGA-PBE).

```
data_HfPt
_symmetry_space_group_name_H-M 'I -4 3 m'
_symmetry_Int_Tables_number 217
_symmetry_space_group_name_Hall 'I -4 2 3'
_cell_length_a 8.256
_cell_length_b 8.256
_cell_length_c 8.256
_cell_angle_alpha 90.00
_cell_angle_beta 90.00
_cell_angle_gamma 90.00
loop_
_atom_site_label
_atom_site_fract_x
_atom_site_fract_y
_atom_site_fract_z
Hf1 0.144 0.144 0.144
Pt1 0.169 0.169 0.831
```

Values from the calculation:
M_tot in μB/cell: 0.00
VASP energy in eV/atom: -8.05

***

No. 6
Entry from Alexandria: an optimized crystal structure of SrYTe (GGA-PBE).

```
data_SrYTe
_symmetry_space_group_name_H-M 'P 3 m 1'
_symmetry_Int_Tables_number 156
_symmetry_space_group_name_Hall 'P 3 -2"'
_cell_length_a 4.2212
_cell_length_b 4.2212
_cell_length_c 7.3127
_cell_angle_alpha 90.00
_cell_angle_beta 90.00
_cell_angle_gamma 120.00
loop_
_atom_site_label
_atom_site_fract_x
_atom_site_fract_y
_atom_site_fract_z
Sr1 0.0000 0.0000 0.0000
Y1 0.6667 0.3333 0.5633
Te1 0.3333 0.6667 0.3084
```

Values from the calculation:
M_tot in μB/cell: 0.70
Energy relative to the elements, uncorrected in eV/atom: -0.8168

***

No. 7
Entry from Alexandria: an optimized crystal structure of SrUP2Ir4 (GGA-PBE).

```
data_SrUP2Ir4
_symmetry_space_group_name_H-M 'P 4/m m m'
_symmetry_Int_Tables_number 123
_symmetry_space_group_name_Hall '-P 4 2'
_cell_length_a 4.009
_cell_length_b 4.009
_cell_length_c 9.753
_cell_angle_alpha 90.00
_cell_angle_beta 90.00
_cell_angle_gamma 90.00
loop_
_atom_site_label
_atom_site_fract_x
_atom_site_fract_y
_atom_site_fract_z
Sr1 0.000 0.000 0.000
U1 0.000 0.000 0.500
P1 0.500 0.500 0.174
Ir1 0.000 0.500 0.299
```

Values from the calculation:
M_tot in μB/cell: 0.00
VASP energy in eV/atom: -8.09

***

No. 8
Entry from Alexandria: an optimized crystal structure of FeGeN (GGA-PBE).

```
data_FeGeN
_symmetry_space_group_name_H-M 'C 1 m 1'
_symmetry_Int_Tables_number 8
_symmetry_space_group_name_Hall 'C -2y'
_cell_length_a 5.144
_cell_length_b 2.994
_cell_length_c 4.818
_cell_angle_alpha 90.00
_cell_angle_beta 110.68
_cell_angle_gamma 90.00
loop_
_atom_site_label
_atom_site_fract_x
_atom_site_fract_y
_atom_site_fract_z
Fe1 0.000 0.000 0.000
Ge1 0.038 0.500 0.614
N1 0.400 0.000 0.199
```

Values from the calculation:
M_tot in μB/cell: 1.81
Energy relative to the elements, uncorrected in eV/atom: 0.1887

***

Which of these has the highest M_tot?
FeGeN

***

What is the formula in the eighth record?
FeGeN

***

What did the fourth record say?
Entry from Alexandria: an optimized crystal structure of LiTeI4 (GGA-PBE).

```
data_LiTeI4
_symmetry_space_group_name_H-M 'I -4 m 2'
_symmetry_Int_Tables_number 119
_symmetry_space_group_name_Hall 'I -4 -2'
_cell_length_a 6.182
_cell_length_b 6.182
_cell_length_c 12.359
_cell_angle_alpha 90.00
_cell_angle_beta 90.00
_cell_angle_gamma 90.00
loop_
_atom_site_label
_atom_site_fract_x
_atom_site_fract_y
_atom_site_fract_z
Li1 0.000 0.000 0.000
Te1 0.000 0.500 0.250
I1 0.000 0.000 0.240
I2 0.000 0.500 0.012
```

Values from the calculation:
M_tot in μB/cell: 0.00
Energy relative to the elements, uncorrected in eV/atom: -0.4338

***

Which formula does entry 2 have?
SrYIn4O8